# 1
# LaFeSi2 (PBEsol, optimized geometry)
# crystal system: monoclinic
# raw formation energy: -0.22 eV per atom
data_LaFeSi2
_space_group_name_H-M_alt 'P 1 2/m 1'
_space_group_IT_number 10
_cell_length_a 2.9926
_cell_length_b 3.9260
_cell_length_c 5.9889
_cell_angle_alpha 90.00
_cell_angle_beta 99.67
_cell_angle_gamma 90.00
loop_
_space_group_symop_operation_xyz
'x,y,z'
'-x,-y,-z'
'-x,y,-z'
'x,-y,z'
loop_
_atom_site_label
_atom_site_type_symbol
_atom_site_fract_x
_atom_site_fract_y
_atom_site_fract_z
La1 La 0.0000 0.0000 0.0000
Fe1 Fe 0.5000 0.0000 0.5000
Si1 Si 0.3560 0.5000 0.6768


# 2
# MgAlNi2 (PBEsol, optimized geometry)
# crystal system: orthorhombic
# raw total energy: -4.826 eV/atom
data_MgAlNi2
_space_group_name_H-M_alt 'I m m 2'
_space_group_IT_number 44
_cell_length_a 2.9810
_cell_length_b 4.0038
_cell_length_c 8.4886
_cell_angle_alpha 90.00
_cell_angle_beta 90.00
_cell_angle_gamma 90.00
loop_
_space_group_symop_operation_xyz
'x,y,z'
'-x,-y,z'
'-x,y,z'
'x,-y,z'
'x+1/2,y+1/2,z+1/2'
'-x+1/2,-y+1/2,z+1/2'
'-x+1/2,y+1/2,z+1/2'
'x+1/2,-y+1/2,z+1/2'
loop_
_atom_site_label
_atom_site_type_symbol
_atom_site_fract_x
_atom_site_fract_y
_atom_site_fract_z
Mg1 Mg 0.0000 0.0000 0.0000
Al1 Al 0.0000 0.5000 0.2247
Ni1 Ni 0.0000 0.0000 0.4942
Ni2 Ni 0.0000 0.5000 0.7556


# 3
# GaPtW3 (PBEsol, optimized geometry)
# crystal system: cubic
# raw total energy: -8.521 eV/atom
data_GaPtW3
_space_group_name_H-M_alt 'P m -3 m'
_space_group_IT_number 221
_space_group_name_Hall '-P 4 2 3'
_cell_length_a 4.4699
_cell_length_b 4.4699
_cell_length_c 4.4699
_cell_angle_alpha 90.00
_cell_angle_beta 90.00
_cell_angle_gamma 90.00
loop_
_atom_site_label
_atom_site_type_symbol
_atom_site_fract_x
_atom_site_fract_y
_atom_site_fract_z
Ga1 Ga 0.0000 0.0000 0.0000
Pt1 Pt 0.5000 0.5000 0.5000
W1 W 0.0000 0.0000 0.5000


# 4
# MnTl2As (PBEsol, optimized geometry)
# crystal system: cubic
# excess energy over the best structure of this formula in the dataset: 281 meV per atom
data_MnTl2As
_space_group_name_H-M_alt 'F m -3 m'
_space_group_IT_number 225
_space_group_name_Hall '-F 4 2 3'
_cell_length_a 7.1105
_cell_length_b 7.1105
_cell_length_c 7.1105
_cell_angle_alpha 90.00
_cell_angle_beta 90.00
_cell_angle_gamma 90.00
loop_
_atom_site_label
_atom_site_type_symbol
_atom_site_fract_x
_atom_site_fract_y
_atom_site_fract_z
Mn1 Mn 0.0000 0.0000 0.0000
Tl1 Tl 0.2500 0.2500 0.2500
As1 As 0.0000 0.0000 0.5000


# 5
# Sc2SnRhC (PBEsol, optimized geometry)
# crystal system: tetragonal
# raw total energy: -6.164 eV/atom
data_Sc2SnRhC
_space_group_name_H-M_alt 'P 4/m m m'
_space_group_IT_number 123
_space_group_name_Hall '-P 4 2'
_cell_length_a 4.8298
_cell_length_b 4.8298
_cell_length_c 4.8492
_cell_angle_alpha 90.00
_cell_angle_beta 90.00
_cell_angle_gamma 90.00
loop_
_atom_site_label
_atom_site_type_symbol
_atom_site_fract_x
_atom_site_fract_y
_atom_site_fract_z
Sc1 Sc 0.0000 0.5000 0.0000
Sn1 Sn 0.0000 0.0000 0.5000
Rh1 Rh 0.0000 0.0000 0.0000
C1 C 0.5000 0.5000 0.5000


# 6
# OsC2 (PBEsol, optimized geometry)
# crystal system: orthorhombic
# excess energy over the best structure of this formula in the dataset: 278 meV per atom
data_OsC2
_space_group_name_H-M_alt 'P n n m'
_space_group_IT_number 58
_cell_length_a 4.4268
_cell_length_b 4.7427
_cell_length_c 2.7226
_cell_angle_alpha 90.00
_cell_angle_beta 90.00
_cell_angle_gamma 90.00
loop_
_space_group_symop_operation_xyz
'x,y,z'
'-x,-y,-z'
'-x,-y,z'
'x,y,-z'
'x+1/2,-y+1/2,-z+1/2'
'-x+1/2,y+1/2,z+1/2'
'-x+1/2,y+1/2,-z+1/2'
'x+1/2,-y+1/2,z+1/2'
loop_
_atom_site_label
_atom_site_type_symbol
_atom_site_fract_x
_atom_site_fract_y
_atom_site_fract_z
Os1 Os 0.0000 0.0000 0.0000
C1 C 0.1475 0.4459 0.0000


# 7
# Sr3Sn13Rh4 (PBEsol, optimized geometry)
# crystal system: cubic
# raw total energy: -5.227 eV/atom
data_Sr3Sn13Rh4
_space_group_name_H-M_alt 'P m -3 n'
_space_group_IT_number 223
_space_group_name_Hall '-P 4n 2 3'
_cell_length_a 9.7600
_cell_length_b 9.7600
_cell_length_c 9.7600
_cell_angle_alpha 90.00
_cell_angle_beta 90.00
_cell_angle_gamma 90.00
loop_
_atom_site_label
_atom_site_type_symbol
_atom_site_fract_x
_atom_site_fract_y
_atom_site_fract_z
Sr1 Sr 0.0000 0.2500 0.5000
Sn1 Sn 0.0000 0.0000 0.0000
Sn2 Sn 0.0000 0.3011 0.1536
Rh1 Rh 0.2500 0.2500 0.2500


# 8
# OsBr2Cl (PBEsol, optimized geometry)
# crystal system: tetragonal
# excess energy over the best structure of this formula in the dataset: 1439 meV per atom
# raw formation energy: 1.49 eV per atom
data_OsBr2Cl
_space_group_name_H-M_alt 'P 4/m m m'
_space_group_IT_number 123
_space_group_name_Hall '-P 4 2'
_cell_length_a 4.1425
_cell_length_b 4.1425
_cell_length_c 4.3041
_cell_angle_alpha 90.00
_cell_angle_beta 90.00
_cell_angle_gamma 90.00
loop_
_atom_site_label
_atom_site_type_symbol
_atom_site_fract_x
_atom_site_fract_y
_atom_site_fract_z
Os1 Os 0.0000 0.0000 0.0000
Br1 Br 0.0000 0.5000 0.5000
Cl1 Cl 0.5000 0.5000 0.0000


# 9
# Sc2H6Se3O12 (PBEsol, optimized geometry)
# crystal system: trigonal
# raw total energy: -6.192 eV/atom
data_Sc2H6Se3O12
_space_group_name_H-M_alt 'R 3 c'
_space_group_IT_number 161
_space_group_name_Hall 'R 3 -2"c'
_cell_length_a 9.6017
_cell_length_b 9.6017
_cell_length_c 20.4877
_cell_angle_alpha 90.00
_cell_angle_beta 90.00
_cell_angle_gamma 120.00
loop_
_atom_site_label
_atom_site_type_symbol
_atom_site_fract_x
_atom_site_fract_y
_atom_site_fract_z
Sc1 Sc 0.0000 0.0000 0.0000
Sc2 Sc 0.0000 0.0000 0.2428
H1 H 0.1167 0.3581 0.4655
H2 H 0.2040 0.0806 0.3528
Se1 Se 0.0586 0.5067 0.2883
O1 O 0.0261 0.1848 0.0591
O2 O 0.0371 0.1941 0.1880
O3 O 0.1685 0.4603 0.1128
O4 O 0.1987 0.0737 0.8098


# 10
# YMgAs (PBEsol, optimized geometry)
# crystal system: hexagonal
# excess energy over the best structure of this formula in the dataset: 0 meV per atom
data_YMgAs
_space_group_name_H-M_alt 'P -6 m 2'
_space_group_IT_number 187
_space_group_name_Hall 'P -6 2'
_cell_length_a 4.3713
_cell_length_b 4.3713
_cell_length_c 3.8763
_cell_angle_alpha 90.00
_cell_angle_beta 90.00
_cell_angle_gamma 120.00
loop_
_atom_site_label
_atom_site_type_symbol
_atom_site_fract_x
_atom_site_fract_y
_atom_site_fract_z
Y1 Y 0.0000 0.0000 0.0000
Mg1 Mg 0.6667 0.3333 0.5000
As1 As 0.3333 0.6667 0.5000


# 11
# YSi2Pt2 (PBEsol, optimized geometry)
# crystal system: tetragonal
# raw formation energy: -1.16 eV per atom
data_YSi2Pt2
_space_group_name_H-M_alt 'P 4/n m m'
_space_group_IT_number 129
_cell_length_a 4.1461
_cell_length_b 4.1461
_cell_length_c 9.8124
_cell_angle_alpha 90.00
_cell_angle_beta 90.00
_cell_angle_gamma 90.00
loop_
_space_group_symop_operation_xyz
'x,y,z'
'-x,-y,-z'
'-y+1/2,x,z'
'y+1/2,-x,-z'
'-x+1/2,-y+1/2,z'
'x+1/2,y+1/2,-z'
'y,-x+1/2,z'
'-y,x+1/2,-z'
'x+1/2,-y,-z'
'-x+1/2,y,z'
'-y,-x,-z'
'y,x,z'
'-x,y+1/2,-z'
'x,-y+1/2,z'
'y+1/2,x+1/2,-z'
'-y+1/2,-x+1/2,z'
loop_
_atom_site_label
_atom_site_type_symbol
_atom_site_fract_x
_atom_site_fract_y
_atom_site_fract_z
Y1 Y 0.2500 0.2500 0.2463
Si1 Si 0.2500 0.2500 0.6346
Si2 Si 0.2500 0.7500 0.0000
Pt1 Pt 0.2500 0.2500 0.8755
Pt2 Pt 0.2500 0.7500 0.5000


# 12
# GdGeRh (PBEsol, optimized geometry)
# crystal system: orthorhombic
# raw total energy: -10.154 eV/atom
data_GdGeRh
_space_group_name_H-M_alt 'P n m a'
_space_group_IT_number 62
_cell_length_a 6.9562
_cell_length_b 4.3217
_cell_length_c 7.3683
_cell_angle_alpha 90.00
_cell_angle_beta 90.00
_cell_angle_gamma 90.00
loop_
_space_group_symop_operation_xyz
'x,y,z'
'-x,-y,-z'
'-x+1/2,-y,z+1/2'
'x+1/2,y,-z+1/2'
'x+1/2,-y+1/2,-z+1/2'
'-x+1/2,y+1/2,z+1/2'
'-x,y+1/2,-z'
'x,-y+1/2,z'
loop_
_atom_site_label
_atom_site_type_symbol
_atom_site_fract_x
_atom_site_fract_y
_atom_site_fract_z
Gd1 Gd 0.0047 0.2500 0.1914
Ge1 Ge 0.2065 0.2500 0.6042
Rh1 Rh 0.1543 0.7500 0.4300


# 13
# Rb3Hg20 (PBEsol, optimized geometry)
# crystal system: cubic
# raw total energy: -0.767 eV/atom
data_Rb3Hg20
_space_group_name_H-M_alt 'P m -3 n'
_space_group_IT_number 223
_space_group_name_Hall '-P 4n 2 3'
_cell_length_a 10.8152
_cell_length_b 10.8152
_cell_length_c 10.8152
_cell_angle_alpha 90.00
_cell_angle_beta 90.00
_cell_angle_gamma 90.00
loop_
_atom_site_label
_atom_site_type_symbol
_atom_site_fract_x
_atom_site_fract_y
_atom_site_fract_z
Rb1 Rb 0.0000 0.2500 0.5000
Hg1 Hg 0.0000 0.0000 0.0000
Hg2 Hg 0.0000 0.2572 0.1347
Hg3 Hg 0.0000 0.5000 0.2500
Hg4 Hg 0.2500 0.2500 0.2500


# 14
# Zr2SbP2 (PBEsol, optimized geometry)
# crystal system: tetragonal
# raw formation energy: -0.87 eV per atom
data_Zr2SbP2
_space_group_name_H-M_alt 'I 4/m m m'
_space_group_IT_number 139
_space_group_name_Hall '-I 4 2'
_cell_length_a 3.6289
_cell_length_b 3.6289
_cell_length_c 14.1838
_cell_angle_alpha 90.00
_cell_angle_beta 90.00
_cell_angle_gamma 90.00
loop_
_atom_site_label
_atom_site_type_symbol
_atom_site_fract_x
_atom_site_fract_y
_atom_site_fract_z
Zr1 Zr 0.0000 0.0000 0.1141
Sb1 Sb 0.0000 0.0000 0.5000
P1 P 0.0000 0.5000 0.2500


# 15
# NaAlHg2 (PBEsol, optimized geometry)
# crystal system: tetragonal
# raw total energy: -1.552 eV/atom
data_NaAlHg2
_space_group_name_H-M_alt 'I -4 2 d'
_space_group_IT_number 122
_space_group_name_Hall 'I -4 2bw'
_cell_length_a 4.5557
_cell_length_b 4.5557
_cell_length_c 18.7374
_cell_angle_alpha 90.00
_cell_angle_beta 90.00
_cell_angle_gamma 90.00
loop_
_atom_site_label
_atom_site_type_symbol
_atom_site_fract_x
_atom_site_fract_y
_atom_site_fract_z
Na1 Na 0.0000 0.0000 0.0000
Al1 Al 0.0000 0.0000 0.5000
Hg1 Hg 0.2175 0.2500 0.6250


# 16
# Mn2CrSe3 (PBEsol, optimized geometry)
# crystal system: orthorhombic
# raw formation energy: -0.22 eV per atom
data_Mn2CrSe3
_space_group_name_H-M_alt 'I m m m'
_space_group_IT_number 71
_space_group_name_Hall '-I 2 2'
_cell_length_a 3.7060
_cell_length_b 5.2601
_cell_length_c 11.1064
_cell_angle_alpha 90.00
_cell_angle_beta 90.00
_cell_angle_gamma 90.00
loop_
_atom_site_label
_atom_site_type_symbol
_atom_site_fract_x
_atom_site_fract_y
_atom_site_fract_z
Mn1 Mn 0.0000 0.0000 0.1658
Cr1 Cr 0.0000 0.0000 0.5000
Se1 Se 0.0000 0.5000 0.1631
Se2 Se 0.0000 0.5000 0.5000


# 17
# La2HfC (PBEsol, optimized geometry)
# crystal system: tetragonal
# raw total energy: -7.556 eV/atom
data_La2HfC
_space_group_name_H-M_alt 'I -4 2 d'
_space_group_IT_number 122
_space_group_name_Hall 'I -4 2bw'
_cell_length_a 9.5867
_cell_length_b 9.5867
_cell_length_c 4.3996
_cell_angle_alpha 90.00
_cell_angle_beta 90.00
_cell_angle_gamma 90.00
loop_
_atom_site_label
_atom_site_type_symbol
_atom_site_fract_x
_atom_site_fract_y
_atom_site_fract_z
La1 La 0.1040 0.7500 0.1250
Hf1 Hf 0.0000 0.0000 0.5000
C1 C 0.0000 0.0000 0.0000


# 18
# HfSnIrPt2 (PBEsol, optimized geometry)
# crystal system: tetragonal
# raw total energy: -6.872 eV/atom
data_HfSnIrPt2
_space_group_name_H-M_alt 'P 4/m m m'
_space_group_IT_number 123
_space_group_name_Hall '-P 4 2'
_cell_length_a 4.8965
_cell_length_b 4.8965
_cell_length_c 4.8008
_cell_angle_alpha 90.00
_cell_angle_beta 90.00
_cell_angle_gamma 90.00
loop_
_atom_site_label
_atom_site_type_symbol
_atom_site_fract_x
_atom_site_fract_y
_atom_site_fract_z
Hf1 Hf 0.0000 0.0000 0.0000
Sn1 Sn 0.5000 0.5000 0.5000
Ir1 Ir 0.0000 0.0000 0.5000
Pt1 Pt 0.0000 0.5000 0.0000


# 19
# Zn2CrIn (PBEsol, optimized geometry)
# crystal system: tetragonal
# raw total energy: -3.872 eV/atom
data_Zn2CrIn
_space_group_name_H-M_alt 'I -4 m 2'
_space_group_IT_number 119
_space_group_name_Hall 'I -4 -2'
_cell_length_a 3.9454
_cell_length_b 3.9454
_cell_length_c 8.1356
_cell_angle_alpha 90.00
_cell_angle_beta 90.00
_cell_angle_gamma 90.00
loop_
_atom_site_label
_atom_site_type_symbol
_atom_site_fract_x
_atom_site_fract_y
_atom_site_fract_z
Zn1 Zn 0.0000 0.0000 0.0000
Zn2 Zn 0.0000 0.5000 0.2500
Cr1 Cr 0.0000 0.5000 0.7500
In1 In 0.0000 0.0000 0.5000


no.,magnetization (μB per atom)
1,0.0001
2,0.0001
3,0.0002
4,1.0946
5,0.0002
6,0.0003
7,0.0000
8,0.0003
9,0.0000
10,0.0000
11,0.0000
12,2.3624
13,0.0000
14,0.0001
15,0.0000
16,2.1110
17,0.0000
18,0.0000
19,0.8022